Entry 1:
TbSm6Th | GGA-PBE | relaxed

Cell: 5.108 5.108 10.207 Å, 90.00 90.00 90.00°
Positions (direct):
Tb: 0.000 0.000 0.000
Sm: 0.000 0.500 0.252
Sm: 0.000 0.500 0.748
Sm: 0.500 0.000 0.252
Sm: 0.500 0.000 0.748
Sm: 0.500 0.500 0.000
Sm: 0.500 0.500 0.500
Th: 0.000 0.000 0.500

Summary:
**Energy relative to the elements**: 0.035 eV per atom
**Space group**: P4/mmm (123)

***

Entry 2:
ReOs2Pt | GGA-PBE | relaxed

Cell: 4.411 4.411 4.411 Å, 60.00 60.00 60.00°
Positions (direct):
Re: 0.000 0.000 0.000
Os: 0.250 0.250 0.250
Os: 0.500 0.500 0.500
Pt: 0.750 0.750 0.750

Summary:
**Energy relative to the elements**: 0.651 eV per atom
**Space group**: F-43m (216)

***

Entry 3:
Li3NpCl6 | GGA-PBE | relaxed

Cell: 7.404 7.404 7.457 Å, 62.22 62.22 61.92°
Positions (direct):
Li: 0.000 0.000 0.000
Li: 0.000 0.500 0.000
Li: 0.500 0.000 0.000
Np: 0.500 0.500 0.500
Cl: 0.220 0.731 0.777
Cl: 0.242 0.242 0.781
Cl: 0.272 0.776 0.220
Cl: 0.728 0.224 0.780
Cl: 0.758 0.758 0.219
Cl: 0.780 0.269 0.223

Summary:
**Formation energy from raw total energies**: -1.699 eV per atom
**Space group**: P-1 (2)

***

no.,E (eV/cell),offset from the most stable computed form (meV/atom)
1,-40.08,0
2,-38.34,592
3,-46.76,18